The following is a GGA-PBE calculation of a geometry-optimized TiReN3 structure, from Alexandria.

Properties
Its size of the total moment is 0.00 μB per cell. The formation energy without anion corrections is -0.381 eV per atom. As for the calculated total energy: -9.445 eV/atom. As for the density: 8107 kg/m3.

abc: 3.251 3.251 12.360
angles: 90.00 90.00 120.00
Fractional positions:
Ti 0.000 0.000 0.000
Ti 0.000 0.000 0.500
Re 0.333 0.667 0.250
Re 0.667 0.333 0.750
N 0.000 0.000 0.250
N 0.000 0.000 0.750
N 0.333 0.667 0.085
N 0.333 0.667 0.415
N 0.667 0.333 0.585
N 0.667 0.333 0.915